First-principles (PBE) data for an optimized crystal structure of K2TmNpTe4, as listed in the Alexandria database.

```
data_K2TmNpTe4
_chemical_formula_sum 'K2 Tm1 Np1 Te4'
_symmetry_space_group_name_H-M 'P 1'
_symmetry_Int_Tables_number 1
_cell_length_a 7.849
_cell_length_b 4.508
_cell_length_c 8.609
_cell_angle_alpha 90.00
_cell_angle_beta 107.61
_cell_angle_gamma 90.00
loop_
_symmetry_equiv_pos_as_xyz
'x,y,z'
loop_
_atom_site_label
_atom_site_type_symbol
_atom_site_fract_x
_atom_site_fract_y
_atom_site_fract_z
K1 K 0.000 0.000 0.000
K2 K 0.500 0.500 0.000
Tm1 Tm 0.000 0.500 0.500
Np1 Np 0.500 0.000 0.500
Te1 Te 0.229 0.000 0.707
Te2 Te 0.258 0.500 0.291
Te3 Te 0.742 0.500 0.709
Te4 Te 0.771 0.000 0.293
```

Energy relative to the elements, uncorrected   -1.122 eV per atom
DOS at the Fermi energy   6.84 states/eV per cell
Raw total energy   -41.15 eV for the cell shown
M_tot   4.00 Bohr magnetons per cell
Theoretical density   5688 kg/m³

First-principles (PBE) data for an optimized crystal structure of Zn2SiPd2, as listed in the Alexandria database.

```
data_Zn2SiPd2
_chemical_formula_sum 'Zn4 Si2 Pd4'
_symmetry_space_group_name_H-M 'P 1'
_symmetry_Int_Tables_number 1
_cell_length_a 6.796
_cell_length_b 6.796
_cell_length_c 6.796
_cell_angle_alpha 131.79
_cell_angle_beta 65.45
_cell_angle_gamma 138.52
loop_
_symmetry_equiv_pos_as_xyz
'x,y,z'
loop_
_atom_site_label
_atom_site_type_symbol
_atom_site_fract_x
_atom_site_fract_y
_atom_site_fract_z
Zn1 Zn 0.110 0.125 0.234
Zn2 Zn 0.390 0.625 0.015
Zn3 Zn 0.610 0.375 0.985
Zn4 Zn 0.890 0.875 0.766
Si1 Si 0.250 0.750 0.500
Si2 Si 0.750 0.250 0.500
Pd1 Pd 0.165 0.674 0.839
Pd2 Pd 0.335 0.174 0.509
Pd3 Pd 0.665 0.826 0.491
Pd4 Pd 0.835 0.326 0.161
```

Energy relative to the elements, uncorrected   -0.302 eV per atom
DOS at the Fermi energy   2.05 states/eV per cell
Excess energy over the best structure of this formula in the dataset   0.0327 eV per atom
Raw total energy   -39.73 eV for the cell shown
M_tot   0.00 Bohr magnetons per cell
Theoretical density   8082 kg/m³

First-principles (PBE) data for an optimized crystal structure of Ga2BiS4, as listed in the Alexandria database.

```
data_Ga2BiS4
_chemical_formula_sum 'Ga2 Bi1 S4'
_symmetry_space_group_name_H-M 'P 1'
_symmetry_Int_Tables_number 1
_cell_length_a 7.216
_cell_length_b 7.216
_cell_length_c 7.216
_cell_angle_alpha 135.58
_cell_angle_beta 135.58
_cell_angle_gamma 64.63
loop_
_symmetry_equiv_pos_as_xyz
'x,y,z'
loop_
_atom_site_label
_atom_site_type_symbol
_atom_site_fract_x
_atom_site_fract_y
_atom_site_fract_z
Ga1 Ga 0.099 0.099 0.000
Ga2 Ga 0.901 0.901 0.000
Bi1 Bi 0.500 0.500 0.000
S1 S 0.000 0.500 0.500
S2 S 0.274 0.274 0.000
S3 S 0.500 0.000 0.500
S4 S 0.726 0.726 0.000
```

Energy relative to the elements, uncorrected   0.079 eV per atom
DOS at the Fermi energy   7.05 states/eV per cell
Excess energy over the best structure of this formula in the dataset   0.6762 eV per atom
Raw total energy   -25.89 eV for the cell shown
M_tot   0.55 Bohr magnetons per cell
Theoretical density   4362 kg/m³

Copy entry 3 word for word.
First-principles (PBE) data for an optimized crystal structure of Ga2BiS4, as listed in the Alexandria database.

```
data_Ga2BiS4
_chemical_formula_sum 'Ga2 Bi1 S4'
_symmetry_space_group_name_H-M 'P 1'
_symmetry_Int_Tables_number 1
_cell_length_a 7.216
_cell_length_b 7.216
_cell_length_c 7.216
_cell_angle_alpha 135.58
_cell_angle_beta 135.58
_cell_angle_gamma 64.63
loop_
_symmetry_equiv_pos_as_xyz
'x,y,z'
loop_
_atom_site_label
_atom_site_type_symbol
_atom_site_fract_x
_atom_site_fract_y
_atom_site_fract_z
Ga1 Ga 0.099 0.099 0.000
Ga2 Ga 0.901 0.901 0.000
Bi1 Bi 0.500 0.500 0.000
S1 S 0.000 0.500 0.500
S2 S 0.274 0.274 0.000
S3 S 0.500 0.000 0.500
S4 S 0.726 0.726 0.000
```

Energy relative to the elements, uncorrected   0.079 eV per atom
DOS at the Fermi energy   7.05 states/eV per cell
Excess energy over the best structure of this formula in the dataset   0.6762 eV per atom
Raw total energy   -25.89 eV for the cell shown
M_tot   0.55 Bohr magnetons per cell
Theoretical density   4362 kg/m³

> Which of these has the highest theoretical density?

Zn2SiPd2

Copy entry 3 word for word.
First-principles (PBE) data for an optimized crystal structure of Ga2BiS4, as listed in the Alexandria database.

```
data_Ga2BiS4
_chemical_formula_sum 'Ga2 Bi1 S4'
_symmetry_space_group_name_H-M 'P 1'
_symmetry_Int_Tables_number 1
_cell_length_a 7.216
_cell_length_b 7.216
_cell_length_c 7.216
_cell_angle_alpha 135.58
_cell_angle_beta 135.58
_cell_angle_gamma 64.63
loop_
_symmetry_equiv_pos_as_xyz
'x,y,z'
loop_
_atom_site_label
_atom_site_type_symbol
_atom_site_fract_x
_atom_site_fract_y
_atom_site_fract_z
Ga1 Ga 0.099 0.099 0.000
Ga2 Ga 0.901 0.901 0.000
Bi1 Bi 0.500 0.500 0.000
S1 S 0.000 0.500 0.500
S2 S 0.274 0.274 0.000
S3 S 0.500 0.000 0.500
S4 S 0.726 0.726 0.000
```

Energy relative to the elements, uncorrected   0.079 eV per atom
DOS at the Fermi energy   7.05 states/eV per cell
Excess energy over the best structure of this formula in the dataset   0.6762 eV per atom
Raw total energy   -25.89 eV for the cell shown
M_tot   0.55 Bohr magnetons per cell
Theoretical density   4362 kg/m³